(1)
The following is a PBE-GGA calculation of CrPtBr2 after structural relaxation, from Alexandria via LeMat-Bulk.

The calculation puts the total moment at 3.54 μB per cell. The total DFT energy (no corrections) is -3.955 eV per atom. The value obtained for the theoretical density is 7395 kg/m3. The value obtained for the uncorrected formation energy is 0.797 eV per atom. Its symmetry is No. 166.

Cell: 11.947 11.947 11.947 Å, 14.36 14.36 14.36°
Site moments in Bohr magnetons follow the coordinates.
Positions (direct):
Cr 0.000 0.000 0.000  2.92
Br 0.933 0.933 0.933  -0.13
Br 0.067 0.067 0.067  -0.13
Pt 0.500 0.500 0.500  0.54



(2)
The following is a PBE-GGA calculation of CrPt2Br after structural relaxation, from Alexandria via LeMat-Bulk.

The calculation puts the total moment at 3.11 μB per cell. The total DFT energy (no corrections) is -5.354 eV per atom. The value obtained for the theoretical density is 12725 kg/m3. The value obtained for the uncorrected formation energy is 0.490 eV per atom. Its symmetry is No. 216.

Cell: 4.585 4.585 4.585 Å, 120.01 120.01 89.98°
Site moments in Bohr magnetons follow the coordinates.
Positions (direct):
Br 0.500 0.500 0.000  -0.06
Cr 0.750 0.250 0.500  3.27
Pt 0.000 0.000 0.000  -0.24
Pt 0.250 0.750 0.500  -0.14



(3)
The following is a PBE-GGA calculation of CrPt2Br after structural relaxation, from Alexandria via LeMat-Bulk.

The calculation puts the total moment at 2.28 μB per cell. The total DFT energy (no corrections) is -5.694 eV per atom. The value obtained for the theoretical density is 10466 kg/m3. The value obtained for the uncorrected formation energy is 0.150 eV per atom. Its symmetry is No. 8.

Cell: 4.630 4.630 6.522 Å, 78.42 78.42 37.32°
Site moments in Bohr magnetons follow the coordinates.
Positions (direct):
Br 0.619 0.619 0.468  -0.05
Cr 0.214 0.214 0.163  2.36
Pt 0.956 0.956 0.029  -0.10
Pt 0.711 0.711 0.840  -0.10



(4)
The following is a PBE-GGA calculation of CrPtBr2 after structural relaxation, from Alexandria via LeMat-Bulk.

The calculation puts the total moment at 4.22 μB per cell. The total DFT energy (no corrections) is -4.243 eV per atom. The value obtained for the theoretical density is 8557 kg/m3. The value obtained for the uncorrected formation energy is 0.510 eV per atom. Its symmetry is No. 123.

Cell: 4.727 4.727 3.533 Å, 90.00 90.00 90.00°
Site moments in Bohr magnetons follow the coordinates.
Positions (direct):
Br 0.000 0.000 0.000  -0.04
Br 0.500 0.500 0.000  -0.04
Cr 0.500 0.000 0.500  3.97
Pt 0.000 0.500 0.500  -0.15



(5)
The following is a PBE-GGA calculation of CrPtBr2 after structural relaxation, from Alexandria via LeMat-Bulk.

The calculation puts the total moment at 4.48 μB per cell. The total DFT energy (no corrections) is -4.349 eV per atom. The value obtained for the theoretical density is 6861 kg/m3. The value obtained for the uncorrected formation energy is 0.403 eV per atom. Its symmetry is No. 65.

Cell: 4.127 4.127 6.824 Å, 90.00 90.00 122.05°
Site moments in Bohr magnetons follow the coordinates.
Positions (direct):
Br 0.000 0.000 0.999  -0.01
Br 0.000 0.000 0.501  -0.01
Cr 0.500 0.500 0.250  3.96
Pt 0.500 0.500 0.750  0.01



(6)
The following is a PBE-GGA calculation of CrPtBr2 after structural relaxation, from Alexandria via LeMat-Bulk.

The calculation puts the total moment at 4.00 μB per cell. The total DFT energy (no corrections) is -4.853 eV per atom. The value obtained for the theoretical density is 6311 kg/m3. The value obtained for the uncorrected formation energy is -0.100 eV per atom. Its symmetry is No. 12.

Cell: 7.280 7.280 4.324 Å, 85.13 85.13 27.97°
Site moments in Bohr magnetons follow the coordinates.
Positions (direct):
Br 0.111 0.111 0.953  -0.01
Br 0.389 0.389 0.547  -0.01
Cr 0.750 0.750 0.750  3.58
Pt 0.250 0.250 0.250  0.04



(7)
The following is a PBE-GGA calculation of CrPt2Br after structural relaxation, from Alexandria via LeMat-Bulk.

The calculation puts the total moment at 2.05 μB per cell. The total DFT energy (no corrections) is -5.226 eV per atom. The value obtained for the theoretical density is 10033 kg/m3. The value obtained for the uncorrected formation energy is 0.619 eV per atom. Its symmetry is No. 122.

Cell: 6.431 6.431 6.176 Å, 58.63 58.63 90.00°
Site moments in Bohr magnetons follow the coordinates.
Positions (direct):
Cr 0.500 0.500 0.000  1.29
Cr 0.250 0.750 0.500  1.29
Br 0.000 0.000 0.000  -0.09
Br 0.750 0.250 0.500  -0.08
Pt 0.583 0.125 0.250  -0.13
Pt 0.167 0.625 0.250  -0.12
Pt 0.375 0.417 0.750  -0.10
Pt 0.875 0.833 0.750  -0.09



(8)
The following is a PBE-GGA calculation of CrPt2Br after structural relaxation, from Alexandria via LeMat-Bulk.

The calculation puts the total moment at 2.20 μB per cell. The total DFT energy (no corrections) is -5.711 eV per atom. The value obtained for the theoretical density is 11005 kg/m3. The value obtained for the uncorrected formation energy is 0.133 eV per atom. Its symmetry is No. 6.

Cell: 2.948 3.705 7.212 Å, 90.43 90.00 90.00°
Site moments in Bohr magnetons follow the coordinates.
Positions (direct):
Br 0.000 0.494 0.541  -0.07
Cr 0.500 0.500 0.818  2.24
Pt 0.000 0.002 0.971  -0.05
Pt 0.500 0.505 0.171  -0.09